Here is crystalline MoPOsO2 at its relaxed geometry from Alexandria. Energies are from GGA+U.

a b c (Å): 3.741 3.741 5.664
angles (deg): 90.00 90.00 90.00
Fractional coordinates of all 5 atoms:
Mo 0.000 0.000 0.000
P 0.000 0.000 0.500
Os 0.500 0.500 0.500
O 0.000 0.500 0.000
O 0.500 0.000 0.000

Summary:
**Energy relative to the lowest polymorph listed for this composition**: 294 meV per atom
**Total DFT energy (no corrections)**: -6.64 eV per atom